1.
VASP calculation (PBEsol) on a geometry-optimized CeTa3O9 structure.

a = 12.4472 Å, b = 7.6226 Å, c = 6.5216 Å
α = 90.00°, β = 94.22°, γ = 90.00°
With the nearest neighbours (Å) after each atom.
Space group C2/m (No. 12)
Asymmetric unit:
Ce 0.2343 0.0000 0.0512 (multiplicity 4)  8 O 2.41-2.54
Ta 0.0342 0.2487 0.7622 (multiplicity 8)  5 O 1.92-2.08
Ta 0.2500 0.2500 0.5000 (multiplicity 4)  6 O 1.97-1.99
O 0.0413 0.0000 0.7205 (multiplicity 4)  2 Ta 1.92
O 0.0708 0.5000 0.8016 (multiplicity 4)  2 Ta 1.98
O 0.0909 0.2231 0.0689 (multiplicity 8)  2 Ta 1.98-2.08
O 0.0914 0.2849 0.4536 (multiplicity 8)  3 Ta 1.99-2.20
O 0.2076 0.2154 0.7824 (multiplicity 8)  2 Ta 1.97-2.17
O 0.2303 0.0000 0.4245 (multiplicity 4)  2 Ta 1.98

Calculated values
Raw total energy   -10.040 eV/atom
DOS at the Fermi energy   29.7 states/eV per cell
Calculated density   8.9 g/cm3


2.
VASP calculation (PBEsol) on a geometry-optimized CeTaTiO6 structure.

a = 11.0111 Å, b = 5.2877 Å, c = 7.4881 Å
α = 90.00°, β = 90.00°, γ = 90.00°
With the nearest neighbours (Å) after each atom.
Space group Pna2_1 (No. 33)
Asymmetric unit:
Ce 0.0437 0.0455 0.0000 (multiplicity 4)  8 O 2.36-2.49
Ta 0.1450 0.5445 0.2563 (multiplicity 4)  5 O 1.90-1.99
Ti 0.1400 0.5397 0.7456 (multiplicity 4)  5 O 1.88-1.99
O 0.0235 0.2647 0.7109 (multiplicity 4)  1 Ti 1.96, 1 Ta 2.14
O 0.0272 0.2636 0.2906 (multiplicity 4)  1 Ta 1.99, 1 Ti 2.14
O 0.1189 0.6632 0.5023 (multiplicity 4)  1 Ti 1.95, 1 Ta 1.97
O 0.1433 0.4481 0.9998 (multiplicity 4)  1 Ti 1.96, 1 Ta 1.99
O 0.2073 0.8770 0.8121 (multiplicity 4)  1 Ta 1.90, 1 Ti 1.99
O 0.2120 0.8805 0.1894 (multiplicity 4)  1 Ti 1.88, 1 Ta 1.99

Calculated values
Raw total energy   -9.703 eV/atom
DOS at the Fermi energy   29.0 states/eV per cell
Calculated density   7.1 g/cm3